DFT (meta-GGA SCAN) results for a PBEsol-optimized structure of Te4MoBr.

Unit cell a=6.784 b=7.792 c=7.852 alpha=112.54 beta=102.88 gamma=101.60
Space group P-1 (No. 2)
Inequivalent atoms, fractional coordinates:
Te  0.038  0.391  0.236
Te  0.122  0.833  0.174
Te  0.388  0.352  0.690
Te  0.460  0.260  0.066
Mo  0.218  0.500  0.999
Br  0.256  0.904  0.584

Values from the calculation:
As for the uncorrected formation energy: -1.6 eV per formula unit. The total magnetic moment is 0.000 μB/f.u.

DFT (meta-GGA SCAN) results for a PBEsol-optimized structure of TeMo3Br.

Unit cell a=4.621 b=4.621 c=4.621 alpha=90.00 beta=90.00 gamma=90.00
Space group Pm-3m (No. 221)
Inequivalent atoms, fractional coordinates:
Te  0.000  0.000  0.000
Mo  0.000  0.500  0.500
Br  0.500  0.500  0.500

Values from the calculation:
As for the uncorrected formation energy: 8.5 eV per formula unit. The total magnetic moment is 2.402 μB/f.u.

DFT (meta-GGA SCAN) results for a PBEsol-optimized structure of Ti3MoBr.

Unit cell a=4.522 b=4.522 c=4.522 alpha=90.00 beta=90.00 gamma=90.00
Space group Pm-3m (No. 221)
Inequivalent atoms, fractional coordinates:
Ti  0.000  0.000  0.500
Mo  0.500  0.500  0.500
Br  0.000  0.000  0.000

Values from the calculation:
As for the uncorrected formation energy: 3.9 eV per formula unit. The total magnetic moment is 0.001 μB/f.u.

DFT (meta-GGA SCAN) results for a PBEsol-optimized structure of TlMo2Br.

Unit cell a=3.163 b=3.163 c=8.070 alpha=90.00 beta=90.00 gamma=90.00
Space group P4mm (No. 99)
Inequivalent atoms, fractional coordinates:
Tl  0.000  0.000  0.000
Mo  0.000  0.000  0.585
Mo  0.500  0.500  0.752
Br  0.500  0.500  0.357

Values from the calculation:
As for the uncorrected formation energy: 1.5 eV per formula unit. The total magnetic moment is 0.000 μB/f.u.